(1)
The following is a PBE calculation of crystalline ZnMoW2 at its relaxed geometry, from the Alexandria database.

Cell: 4.9858 4.9858 4.9858 Å, 134.30 134.30 66.63°
Element x y z (fractional)
Mo1 0.7500 0.2500 0.5000
W1 0.0000 0.0000 0.0000
W2 0.2500 0.7500 0.5000
Zn1 0.5000 0.5000 0.0000

(2)
The following is a PBE calculation of crystalline Er4Tm5Tl2 at its relaxed geometry, from the Alexandria database.

Cell: 3.5252 9.0891 12.4108 Å, 118.85 98.16 90.00°
Element x y z (fractional)
Er1 0.6027 0.5880 0.2053
Er2 0.0172 0.7156 0.0344
Er3 0.3973 0.4120 0.7947
Er4 0.9828 0.2844 0.9656
Tm1 0.1778 0.9705 0.3555
Tm2 0.8222 0.0295 0.6445
Tm3 0.1273 0.2972 0.2545
Tm4 0.5000 0.0000 0.0000
Tm5 0.8727 0.7028 0.7455
Tl1 0.7356 0.6462 0.4711
Tl2 0.2644 0.3538 0.5289

(3)
The following is a PBE calculation of crystalline PrErSn2 at its relaxed geometry, from the Alexandria database.

Distance to the lowest polymorph of the same formula, meV per atom: 95

Cell: 4.5440 4.9149 4.9149 Å, 90.00 90.00 90.00°
Element x y z (fractional)
Pr1 0.5000 0.0000 0.0000
Sn1 0.0000 0.0000 0.5000
Sn2 0.0000 0.5000 0.0000
Er1 0.5000 0.5000 0.5000

(4)
The following is a PBE calculation of crystalline CaSi2W at its relaxed geometry, from the Alexandria database.

Distance to the lowest polymorph of the same formula, meV per atom: 25

Cell: 4.4749 4.4749 5.6875 Å, 74.66 74.66 45.81°
Element x y z (fractional)
Ca1 0.7500 0.7500 0.7500
Si1 0.9808 0.9808 0.1064
Si2 0.5192 0.5192 0.3936
W1 0.2500 0.2500 0.2500

no.,final energy (eV per atom),total magnetic moment (μB/f.u.),D(E_F) (states/eV/f.u.)
1,-9.1707,0.00,2.96
2,-4.0254,0.00,12.63
3,-4.9634,0.00,3.34
4,-6.5722,0.00,2.48